{
  "formula": "AcPb2F6",
  "functional": "PBE",
  "state": "relaxed",
  "e_form_raw_ev_per_atom": -2.9010,
  "cell": [[7.188, -2.009, 0.000], [7.188, 2.009, 0.000], [-4.432, 0.000, 6.641]],
  "species": ["Ac", "Pb", "Pb", "F", "F", "F", "F", "F", "F"],
  "frac_coords": [[0.000, 0.000, 0.000], [0.166, 0.166, 0.709], [0.834, 0.834, 0.291], [0.015, 0.015, 0.334], [0.184, 0.184, 0.024], [0.387, 0.387, 0.815], [0.613, 0.613, 0.185], [0.816, 0.816, 0.976], [0.985, 0.985, 0.666]]
}

---

{
  "formula": "Tb3SmDySc",
  "functional": "PBE",
  "state": "relaxed",
  "formation_enthalpy_0k_mev_per_atom": 35,
  "cell": [[2.485, -7.462, 0.000], [2.485, 7.462, 0.000], [0.000, 0.000, 9.972]],
  "species": ["Tb", "Tb", "Tb", "Tb", "Tb", "Tb", "Sm", "Sm", "Dy", "Dy", "Sc", "Sc"],
  "frac_coords": [[0.167, 0.833, 0.501], [0.167, 0.833, 0.999], [0.331, 0.669, 0.750], [0.669, 0.331, 0.250], [0.833, 0.167, 0.001], [0.833, 0.167, 0.499], [0.002, 0.998, 0.750], [0.998, 0.002, 0.250], [0.500, 0.500, 0.000], [0.500, 0.500, 0.500], [0.332, 0.668, 0.250], [0.668, 0.332, 0.750]]
}

---

{
  "formula": "AlAgP2Cl",
  "functional": "PBE",
  "state": "relaxed",
  "e_above_lowest_polymorph_ev_per_fu": 0.00,
  "e_form_raw_ev_per_atom": 0.4009,
  "cell": [[4.705, 0.000, 0.000], [0.000, 4.705, 0.000], [0.000, 0.000, 4.790]],
  "species": ["Al", "Ag", "P", "P", "Cl"],
  "frac_coords": [[0.000, 0.000, 0.000], [0.500, 0.500, 0.500], [0.000, 0.500, 0.000], [0.500, 0.000, 0.000], [0.000, 0.000, 0.500]]
}

---

| no. | calculated total energy (eV per atom) | density of states at the Fermi level (states/eV/cell) |
| --- | --- | --- |
| 1 | -5.429 | 3.02 |
| 2 | -4.889 | 17.65 |
| 3 | -3.451 | 2.39 |